The following is a DFT calculation (PBE) of an optimized crystal structure of ZnSeSN2.

Cell: 3.769 3.769 6.629 Å, 90.00 90.00 90.00°
Last column: magnetic moment on the atom in μB.
Element x y z (fractional)
N (0.500, 0.000, 0.000)  1.13
N (0.000, 0.500, 0.000)  1.13
Zn (0.000, 0.000, 0.000)  0.10
Se (0.000, 0.000, 0.500)  0.11
S (0.500, 0.500, 0.500)  0.02

## Properties
Calculated total energy   -3.513 eV/atom
Raw formation energy   1.594 eV per atom
DOS(E_F)   0.266 states/eV per atom
Size of the total moment   3.519 μB per formula unit